1.
# WS2Cl

A relaxed WS2Cl crystal (PBE-GGA, Alexandria via LeMat-Bulk).

Cell lengths 3.1727, 3.1727, 26.3778 Å; angles 90.00, 90.00, 120.00 degrees
Fractional positions:
1 W 0.0000 0.0000 0.0000
2 W 0.3333 0.6667 0.6667
3 W 0.6667 0.3333 0.3333
4 S 0.0000 0.0000 0.0840
5 S 0.0000 0.0000 0.9160
6 S 0.3333 0.6667 0.5826
7 S 0.3333 0.6667 0.7507
8 S 0.6667 0.3333 0.2493
9 S 0.6667 0.3333 0.4174
10 Cl 0.0000 0.0000 0.5000
11 Cl 0.3333 0.6667 0.1667
12 Cl 0.6667 0.3333 0.8333

Output
Raw formation energy: 3.317 eV per formula unit
Density of states at the Fermi level: 12.42 states/eV per cell
Symmetry: R-3m (166)

***

2.
# Cs2Rb4NaHg2

A relaxed Cs2Rb4NaHg2 crystal (PBE-GGA, Alexandria via LeMat-Bulk).

Cell lengths 7.2987, 9.3702, 10.1720 Å; angles 80.96, 70.04, 79.88 degrees
Fractional positions:
1 Cs 0.1328 0.3634 0.1774
2 Cs 0.8672 0.6366 0.8226
3 Rb 0.2338 0.8588 0.0857
4 Rb 0.4170 0.2561 0.5650
5 Rb 0.5830 0.7439 0.4350
6 Rb 0.7662 0.1412 0.9143
7 Na 0.0000 0.0000 0.5000
8 Hg 0.1079 0.6360 0.4351
9 Hg 0.8921 0.3640 0.5649

Output
Uncorrected energy: -0.91 eV/atom
Density of states at the Fermi level: 6.57 states/eV per cell
Symmetry: P-1 (2)

***

3.
# LaZr2BAs

A relaxed LaZr2BAs crystal (PBE-GGA, Alexandria via LeMat-Bulk).

Cell lengths 4.9900, 4.9900, 5.5863 Å; angles 90.00, 90.00, 90.00 degrees
Fractional positions:
1 La 0.0000 0.0000 0.0000
2 Zr 0.0000 0.5000 0.5000
3 Zr 0.5000 0.0000 0.5000
4 B 0.5000 0.5000 0.0000
5 As 0.0000 0.0000 0.5000

Output
Uncorrected energy: -5.94 eV/atom
Density of states at the Fermi level: 6.24 states/eV per cell
Symmetry: P4/mmm (123)

***

4.
# Re4Pb

A relaxed Re4Pb crystal (PBE-GGA, Alexandria via LeMat-Bulk).

Cell lengths 4.8332, 4.8332, 4.8332 Å; angles 90.00, 90.00, 90.00 degrees
Fractional positions:
1 Re 0.0000 0.0000 0.0000
2 Re 0.0000 0.5000 0.5000
3 Re 0.5000 0.0000 0.5000
4 Re 0.5000 0.5000 0.0000
5 Pb 0.5000 0.5000 0.5000

Output
Uncorrected energy: -6.97 eV/atom
Density of states at the Fermi level: 6.21 states/eV per cell
Symmetry: Pm-3m (221)

***

5.
# Cs2ZrPd2S4

A relaxed Cs2ZrPd2S4 crystal (PBE-GGA, Alexandria via LeMat-Bulk).

Cell lengths 7.6861, 7.6861, 8.2146 Å; angles 107.25, 107.25, 29.13 degrees
Fractional positions:
1 Cs 0.1351 0.1351 0.0680
2 Cs 0.8649 0.8649 0.9320
3 Zr 0.0000 0.0000 0.5000
4 Pd 0.3162 0.3162 0.4948
5 Pd 0.6838 0.6838 0.5052
6 S 0.1822 0.1822 0.6703
7 S 0.4837 0.4837 0.7077
8 S 0.5163 0.5163 0.2923
9 S 0.8178 0.8178 0.3297

Output
Raw formation energy: -8.722 eV per formula unit
Density of states at the Fermi level: 5.08 states/eV per cell
Symmetry: C2/m (12)

***

6.
# CdIrOs

A relaxed CdIrOs crystal (PBE-GGA, Alexandria via LeMat-Bulk).

Cell lengths 2.8074, 2.8074, 12.3840 Å; angles 90.00, 90.00, 90.00 degrees
Fractional positions:
1 Cd 0.0000 0.0000 0.0000
2 Cd 0.5000 0.5000 0.5000
3 Ir 0.0000 0.0000 0.6814
4 Ir 0.5000 0.5000 0.1814
5 Os 0.0000 0.0000 0.3187
6 Os 0.5000 0.5000 0.8187

Output
Uncorrected energy: -6.79 eV/atom
Density of states at the Fermi level: 3.85 states/eV per cell
Symmetry: I4mm (107)

***

7.
# Rb2AlAsF6

A relaxed Rb2AlAsF6 crystal (PBE-GGA, Alexandria via LeMat-Bulk).

Cell lengths 6.7852, 6.7852, 6.7852 Å; angles 130.39, 130.39, 72.78 degrees
Fractional positions:
1 Rb 0.2500 0.7500 0.5000
2 Rb 0.7500 0.2500 0.5000
3 Al 0.0000 0.0000 0.0000
4 As 0.5000 0.5000 0.0000
5 F 0.1644 0.1644 0.0000
6 F 0.2301 0.2301 0.4602
7 F 0.2301 0.7699 0.0000
8 F 0.7699 0.2301 0.0000
9 F 0.7699 0.7699 0.5398
10 F 0.8356 0.8356 0.0000

Output
Raw formation energy: -26.358 eV per formula unit
Density of states at the Fermi level: 0.00 states/eV per cell
Symmetry: I4/mmm (139)

***

8.
# Dy2Er2Tm15

A relaxed Dy2Er2Tm15 crystal (PBE-GGA, Alexandria via LeMat-Bulk).

Cell lengths 8.5928, 8.5928, 8.5928 Å; angles 79.69, 79.69, 79.69 degrees
Fractional positions:
1 Dy 0.1763 0.1763 0.1763
2 Dy 0.8237 0.8237 0.8237
3 Er 0.3999 0.3999 0.3999
4 Er 0.6001 0.6001 0.6001
5 Tm 0.0000 0.5000 0.5000
6 Tm 0.1329 0.1329 0.6475
7 Tm 0.1329 0.6475 0.1329
8 Tm 0.1993 0.5000 0.8007
9 Tm 0.1993 0.8007 0.5000
10 Tm 0.3525 0.8671 0.8671
11 Tm 0.5000 0.0000 0.5000
12 Tm 0.5000 0.1993 0.8007
13 Tm 0.5000 0.5000 0.0000
14 Tm 0.5000 0.8007 0.1993
15 Tm 0.6475 0.1329 0.1329
16 Tm 0.8007 0.1993 0.5000
17 Tm 0.8007 0.5000 0.1993
18 Tm 0.8671 0.3525 0.8671
19 Tm 0.8671 0.8671 0.3525

Output
Uncorrected energy: -4.20 eV/atom
Density of states at the Fermi level: 33.53 states/eV per cell
Symmetry: R-3m (166)

***

9.
# Ca2InBiO5

A relaxed Ca2InBiO5 crystal (PBE-GGA, Alexandria via LeMat-Bulk).

Cell lengths 6.9058, 6.9058, 12.4128 Å; angles 90.00, 90.00, 151.58 degrees
Fractional positions:
1 Ca 0.0488 0.9512 0.5000
2 Ca 0.1717 0.8283 0.0936
3 Ca 0.8283 0.1717 0.5936
4 Ca 0.9512 0.0488 0.0000
5 In 0.2698 0.7302 0.8648
6 In 0.7302 0.2698 0.3648
7 Bi 0.4426 0.5574 0.2723
8 Bi 0.5574 0.4426 0.7723
9 O 0.1021 0.8979 0.8834
10 O 0.2285 0.7715 0.4965
11 O 0.2531 0.7469 0.2551
12 O 0.4275 0.5725 0.8765
13 O 0.4604 0.5396 0.6055
14 O 0.5396 0.4604 0.1055
15 O 0.5725 0.4275 0.3765
16 O 0.7469 0.2531 0.7551
17 O 0.7715 0.2285 0.9965
18 O 0.8979 0.1021 0.3834

Output
Raw formation energy: -18.040 eV per formula unit
Symmetry: Cmc2_1 (36)

***

10.
# CdSb2Rh

A relaxed CdSb2Rh crystal (PBE-GGA, Alexandria via LeMat-Bulk).

Cell lengths 3.4421, 3.4421, 26.9086 Å; angles 90.00, 90.00, 120.00 degrees
Fractional positions:
1 Cd 0.0000 0.0000 0.0000
2 Cd 0.3333 0.6667 0.6667
3 Cd 0.6667 0.3333 0.3333
4 Sb 0.0000 0.0000 0.5296
5 Sb 0.0000 0.0000 0.7641
6 Sb 0.3333 0.6667 0.1963
7 Sb 0.3333 0.6667 0.4307
8 Sb 0.6667 0.3333 0.0974
9 Sb 0.6667 0.3333 0.8629
10 Rh 0.0000 0.0000 0.2581
11 Rh 0.3333 0.6667 0.9248
12 Rh 0.6667 0.3333 0.5914

Output
Raw formation energy: -0.081 eV per formula unit
Density of states at the Fermi level: 7.49 states/eV per cell
Symmetry: R3m (160)

***

11.
# RbAlSe3

A relaxed RbAlSe3 crystal (PBE-GGA, Alexandria via LeMat-Bulk).

Cell lengths 6.1912, 6.1912, 6.1912 Å; angles 90.00, 90.00, 90.00 degrees
Fractional positions:
1 Rb 0.0000 0.0000 0.0000
2 Al 0.5000 0.5000 0.5000
3 Se 0.0000 0.0000 0.5000
4 Se 0.0000 0.5000 0.0000
5 Se 0.5000 0.0000 0.0000

Output
Raw formation energy: 4.853 eV per formula unit
Density of states at the Fermi level: 6.16 states/eV per cell
Symmetry: Pm-3m (221)

***

12.
# PrSmDy5Ho2

A relaxed PrSmDy5Ho2 crystal (PBE-GGA, Alexandria via LeMat-Bulk).

Cell lengths 9.6981, 9.6981, 9.6981 Å; angles 124.79, 124.79, 81.88 degrees
Fractional positions:
1 Pr 0.2500 0.2500 0.0000
2 Pr 0.7500 0.7500 0.0000
3 Sm 0.2500 0.7500 0.5000
4 Sm 0.7500 0.2500 0.5000
5 Dy 0.0000 0.0000 0.0000
6 Dy 0.0726 0.5726 0.9065
7 Dy 0.1661 0.0726 0.5000
8 Dy 0.3339 0.8339 0.9065
9 Dy 0.4274 0.3339 0.5000
10 Dy 0.5000 0.5000 0.0000
11 Dy 0.5726 0.6661 0.5000
12 Dy 0.6661 0.1661 0.0935
13 Dy 0.8339 0.9274 0.5000
14 Dy 0.9274 0.4274 0.0935
15 Ho 0.1124 0.3876 0.5000
16 Ho 0.3876 0.8876 0.2752
17 Ho 0.6124 0.1124 0.7248
18 Ho 0.8876 0.6124 0.5000

Output
Uncorrected energy: -4.34 eV/atom
Density of states at the Fermi level: 24.52 states/eV per cell
Symmetry: I4/mcm (140)

***

Number 1: total magnetization 0.00 Bohr magnetons per cell. Number 2: total magnetization 0.00 Bohr magnetons per cell. Number 3: total magnetization 0.00 Bohr magnetons per cell. Number 4: total magnetization 0.64 Bohr magnetons per cell. Number 5: total magnetization 0.00 Bohr magnetons per cell. Number 6: total magnetization 0.00 Bohr magnetons per cell. Number 7: total magnetization 0.00 Bohr magnetons per cell. Number 8: total magnetization 0.00 Bohr magnetons per cell. Number 9: total magnetization 0.00 Bohr magnetons per cell. Number 10: total magnetization 0.00 Bohr magnetons per cell. Number 11: total magnetization 4.00 Bohr magnetons per cell. Number 12: total magnetization 0.00 Bohr magnetons per cell.